Material: Th4SnAu2
Method: DFT, PBE-GGA
State: optimized geometry

The structure belongs to space group R-3m (No. 166, hexagonal axes); the cell edges are 4.6118, 4.6118 and 34.8868 Å and the angles 90.00°, 90.00° and 120.00°. Symmetry generates all atoms from Th at (0.0000, 0.0000, 0.1150), Th at (0.0000, 0.0000, 0.3040), Sn at (0.0000, 0.0000, 0.5000) and Au at (0.0000, 0.0000, 0.4038).

For the calculated density, the calculation gives 11.17 g cm⁻³. The formation energy comes out at -276 meV per atom. For the energy, the calculation gives -126.51 eV/cell.

Material: ThSn2Au4
Method: DFT, PBE-GGA
State: optimized geometry

The structure belongs to space group R-3m (No. 166, hexagonal axes); the cell edges are 4.6917, 4.6917 and 25.9412 Å and the angles 90.00°, 90.00° and 120.00°. Symmetry generates all atoms from Th at (0.0000, 0.0000, 0.0000), Sn at (0.0000, 0.0000, 0.2397), Au at (0.0000, 0.0000, 0.1327) and Au at (0.0000, 0.0000, 0.3914).

For the calculated density, the calculation gives 12.67 g cm⁻³. The formation energy comes out at -376 meV per atom. For the energy, the calculation gives -93.51 eV/cell.

Material: Th4Sn2Au
Method: DFT, PBE-GGA
State: optimized geometry

The structure belongs to space group P2_1/m (No. 11); the cell edges are 7.037, 6.530 and 9.769 Å and the angles 90.00°, 108.17° and 90.00°. Symmetry generates all atoms from Th at (0.020, 0.003, 0.237), Th at (0.402, 0.250, 0.551), Th at (0.445, 0.250, 0.161), Sn at (0.185, 0.750, 0.543), Sn at (0.247, 0.750, 0.052) and Au at (0.348, 0.250, 0.838).

For the calculated density, the calculation gives 10.61 g cm⁻³. The formation energy comes out at -358 meV per atom. For the energy, the calculation gives -86.93 eV/cell.

Question: What is the formula in the third record?
Answer: Th4Sn2Au

Copy entry 2 word for word.
Material: ThSn2Au4
Method: DFT, PBE-GGA
State: optimized geometry

The structure belongs to space group R-3m (No. 166, hexagonal axes); the cell edges are 4.6917, 4.6917 and 25.9412 Å and the angles 90.00°, 90.00° and 120.00°. Symmetry generates all atoms from Th at (0.0000, 0.0000, 0.0000), Sn at (0.0000, 0.0000, 0.2397), Au at (0.0000, 0.0000, 0.1327) and Au at (0.0000, 0.0000, 0.3914).

For the calculated density, the calculation gives 12.67 g cm⁻³. The formation energy comes out at -376 meV per atom. For the energy, the calculation gives -93.51 eV/cell.

Question: Among the records above, which one has the lowest calculated density?
Answer: Th4Sn2Au

Copy entry 3 word for word.
Material: Th4Sn2Au
Method: DFT, PBE-GGA
State: optimized geometry

The structure belongs to space group P2_1/m (No. 11); the cell edges are 7.037, 6.530 and 9.769 Å and the angles 90.00°, 108.17° and 90.00°. Symmetry generates all atoms from Th at (0.020, 0.003, 0.237), Th at (0.402, 0.250, 0.551), Th at (0.445, 0.250, 0.161), Sn at (0.185, 0.750, 0.543), Sn at (0.247, 0.750, 0.052) and Au at (0.348, 0.250, 0.838).

For the calculated density, the calculation gives 10.61 g cm⁻³. The formation energy comes out at -358 meV per atom. For the energy, the calculation gives -86.93 eV/cell.